[1]
DFT (PBE) results for a relaxed SiIr2Au crystal.

Calculated values
total magnetic moment	0.0	μB/f.u.
Fermi-level density of states	3.4	states/eV per cell
raw formation energy	0.146	eV per atom

abc: 4.5701 4.5701 4.5701
angles: 126.48 126.48 79.10
Closest atoms and distances in Å follow each position.
Fractional positions:
Au1 0.7500 0.2500 0.5000  8 Ir 2.71, 4 Si 2.91
Ir1 0.0000 0.0000 0.0000  4 Si 2.71, 4 Au 2.71, 4 Ir 2.91
Ir2 0.5000 0.5000 0.0000  4 Au 2.71, 4 Si 2.71, 4 Ir 2.91
Si1 0.2500 0.7500 0.5000  8 Ir 2.71, 4 Au 2.91

=====

[2]
DFT (PBE) results for a relaxed MnBeW3 crystal.

Calculated values
total magnetic moment	0.0	μB/f.u.
Fermi-level density of states	3.7	states/eV per cell
excess energy over the best structure of this formula in the dataset	0.584	eV/atom
ΔE_f	1.613	eV/atom

abc: 4.4475 4.4475 4.4475
angles: 90.00 90.00 90.00
Closest atoms and distances in Å follow each position.
Fractional positions:
Be1 0.5000 0.5000 0.5000  12 W 3.14
Mn1 0.0000 0.0000 0.0000  6 W 2.22
W1 0.0000 0.5000 0.0000  2 Mn 2.22
W2 0.0000 0.0000 0.5000  2 Mn 2.22
W3 0.5000 0.0000 0.0000  2 Mn 2.22

=====

[3]
DFT (PBE) results for a relaxed Sr2CeBr2N2 crystal.

Calculated values
total magnetic moment	0.0	μB/f.u.
raw formation energy	-1.546	eV per atom

abc: 4.5372 4.5372 8.7736
angles: 104.99 104.99 90.00
Closest atoms and distances in Å follow each position.
Fractional positions:
Sr1 0.3966 0.3966 0.7931  4 N 2.83
Sr2 0.6034 0.6034 0.2069  4 N 2.83
Ce1 0.0000 0.0000 0.0000  4 N 2.27
Br1 0.1858 0.1858 0.3715  1 Ce 3.03
Br2 0.8142 0.8142 0.6285  1 Ce 3.03
N1 0.0000 0.5000 0.0000  2 Ce 2.27
N2 0.5000 0.0000 0.0000  2 Ce 2.27

=====

[4]
DFT (PBE) results for a relaxed Sc2InRh crystal.

Calculated values
total magnetic moment	1.6	μB/f.u.
Fermi-level density of states	2.7	states/eV per cell
ΔE_f	-0.465	eV/atom

abc: 3.3148 3.3148 7.3542
angles: 90.00 90.00 90.00
Closest atoms and distances in Å follow each position.
Fractional positions:
In1 0.0000 0.0000 0.5327  4 Rh 2.86, 5 Sc 3.09
Rh1 0.5000 0.5000 0.7564  4 Sc 2.75, 4 In 2.86
Sc1 0.0000 0.0000 0.9527  4 Rh 2.75
Sc2 0.5000 0.5000 0.2582  4 In 3.09, 8 Sc 3.25-3.31

=====

[5]
DFT (PBE) results for a relaxed MnNi2Pt crystal.

Calculated values
total magnetic moment	5.3	μB/f.u.
Fermi-level density of states	5.2	states/eV per cell
ΔE_f	-0.120	eV/atom

abc: 4.5402 4.5402 4.4871
angles: 79.22 79.22 34.81
Closest atoms and distances in Å follow each position.
Fractional positions:
Mn1 0.2531 0.2531 0.2372  7 Ni 2.54-2.71, 3 Pt 2.65-2.67, 2 Mn 2.72
Ni1 0.0017 0.0017 0.9952  5 Ni 2.56-2.72, 4 Pt 2.58-2.66, 3 Mn 2.60-2.62
Ni2 0.7465 0.7465 0.7610  4 Mn 2.54-2.71, 5 Ni 2.56-2.72, 3 Pt 2.62-2.63
Pt1 0.4987 0.4987 0.5066  7 Ni 2.58-2.66, 3 Mn 2.65-2.67, 2 Pt 2.72

=====

[6]
DFT (PBE) results for a relaxed UVN crystal.

Calculated values
total magnetic moment	0.0	μB/f.u.
Fermi-level density of states	3.7	states/eV per cell
excess energy over the best structure of this formula in the dataset	0.950	eV/atom
raw formation energy	0.313	eV per atom

abc: 3.6558 3.6558 4.3898
angles: 114.61 114.61 90.00
Closest atoms and distances in Å follow each position.
Fractional positions:
V1 0.3434 0.3434 0.6869  1 N 1.83
U1 0.9056 0.9056 0.8111  1 N 2.16
N1 0.6010 0.6010 0.2020  1 V 1.83

=====

[7]
DFT (PBE) results for a relaxed Li2TcBr crystal.

Calculated values
total magnetic moment	0.9	μB/f.u.
Fermi-level density of states	2.5	states/eV per cell
excess energy over the best structure of this formula in the dataset	0.176	eV/atom
raw formation energy	0.255	eV per atom

abc: 5.0284 5.0284 2.9272
angles: 90.00 90.00 118.64
Closest atoms and distances in Å follow each position.
Fractional positions:
Br1 0.0000 0.5000 0.5000  2 Tc 2.57
Li1 0.0000 0.0000 0.0000  2 Li 2.57
Li2 0.5000 0.5000 0.0000  2 Li 2.57
Tc1 0.5000 0.0000 0.5000  2 Br 2.57

=====

Q: Which value of total magnetic moment does entry 5 give?
A: 5.3 μB/f.u.